1.
Computed, not measured: crystalline CaLa2Mn at its relaxed geometry at the PBEsol level of DFT.

Values from the calculation:
Energy of formation from the pure elements = 0.30 eV per atom

CIF file:
```
data_CaLa2Mn
_cell_length_a 3.6500
_cell_length_b 5.6853
_cell_length_c 11.0297
_cell_angle_alpha 90.00
_cell_angle_beta 90.00
_cell_angle_gamma 90.00
_space_group_name_H-M_alt 'I m m m'
_space_group_IT_number 71
_space_group_name_Hall '-I 2 2'
loop_
_atom_site_label
_atom_site_type_symbol
_atom_site_fract_x
_atom_site_fract_y
_atom_site_fract_z
_atom_site_occupancy
Ca1 Ca 0.0000 0.0000 0.0000 1
La1 La 0.0000 0.5000 0.1953 1
Mn1 Mn 0.0000 0.0000 0.5000 1
```

2.
Computed, not measured: crystalline La2TaCrB at its relaxed geometry at the PBEsol level of DFT.

Values from the calculation:
Energy of formation from the pure elements = 1.59 eV per atom

CIF file:
```
data_La2TaCrB
_cell_length_a 5.5006
_cell_length_b 5.5006
_cell_length_c 4.5171
_cell_angle_alpha 90.00
_cell_angle_beta 90.00
_cell_angle_gamma 90.00
_space_group_name_H-M_alt 'P 4/m m m'
_space_group_IT_number 123
_space_group_name_Hall '-P 4 2'
loop_
_atom_site_label
_atom_site_type_symbol
_atom_site_fract_x
_atom_site_fract_y
_atom_site_fract_z
_atom_site_occupancy
La1 La 0.0000 0.5000 0.0000 1
Ta1 Ta 0.0000 0.0000 0.0000 1
Cr1 Cr 0.0000 0.0000 0.5000 1
B1 B 0.5000 0.5000 0.5000 1
```

3.
Computed, not measured: crystalline IrRuPt2 at its relaxed geometry at the PBEsol level of DFT.

Values from the calculation:
Energy of formation from the pure elements = 0.44 eV per atom
Energy relative to the lowest polymorph listed for this composition = 479.0 meV per atom

CIF file:
```
data_IrRuPt2
_cell_length_a 6.1863
_cell_length_b 6.1863
_cell_length_c 6.1863
_cell_angle_alpha 90.00
_cell_angle_beta 90.00
_cell_angle_gamma 90.00
_space_group_name_H-M_alt 'F -4 3 m'
_space_group_IT_number 216
_space_group_name_Hall 'F -4 2 3'
loop_
_atom_site_label
_atom_site_type_symbol
_atom_site_fract_x
_atom_site_fract_y
_atom_site_fract_z
_atom_site_occupancy
Ir1 Ir 0.0000 0.0000 0.0000 1
Ru1 Ru 0.2500 0.2500 0.2500 1
Pt1 Pt 0.0000 0.0000 0.5000 1
Pt2 Pt 0.2500 0.2500 0.7500 1
```

4.
Computed, not measured: crystalline LiNiP4O12 at its relaxed geometry at the PBEsol level of DFT.

Values from the calculation:
Energy relative to the lowest polymorph listed for this composition = 84.9 meV per atom

CIF file:
```
data_LiNiP4O12
_cell_length_a 15.0998
_cell_length_b 7.2820
_cell_length_c 9.5127
_cell_angle_alpha 90.00
_cell_angle_beta 121.22
_cell_angle_gamma 90.00
_space_group_name_H-M_alt 'C 1 2/c 1'
_space_group_IT_number 15
loop_
_space_group_symop_operation_xyz
'x,y,z'
'-x,-y,-z'
'-x,y,-z+1/2'
'x,-y,z+1/2'
'x+1/2,y+1/2,z'
'-x+1/2,-y+1/2,-z'
'-x+1/2,y+1/2,-z+1/2'
'x+1/2,-y+1/2,z+1/2'
loop_
_atom_site_label
_atom_site_type_symbol
_atom_site_fract_x
_atom_site_fract_y
_atom_site_fract_z
_atom_site_occupancy
Li1 Li 0.0000 0.2042 0.2500 1
Ni1 Ni 0.0000 0.3625 0.7500 1
P1 P 0.1300 0.0767 0.6361 1
P2 P 0.1345 0.3384 0.1527 1
O1 O 0.0630 0.4258 0.1993 1
O2 O 0.0808 0.0878 0.4557 1
O3 O 0.0908 0.1962 0.7209 1
O4 O 0.1157 0.3658 0.9836 1
O5 O 0.1323 0.1281 0.1987 1
O6 O 0.2486 0.3932 0.2859 1
```

5.
Computed, not measured: crystalline NaMoSCl2 at its relaxed geometry at the PBEsol level of DFT.

Values from the calculation:
Energy relative to the lowest polymorph listed for this composition = 1280.9 meV per atom

CIF file:
```
data_NaMoSCl2
_cell_length_a 4.6878
_cell_length_b 4.6878
_cell_length_c 5.0602
_cell_angle_alpha 90.00
_cell_angle_beta 90.00
_cell_angle_gamma 90.00
_space_group_name_H-M_alt 'P 4/m m m'
_space_group_IT_number 123
_space_group_name_Hall '-P 4 2'
loop_
_atom_site_label
_atom_site_type_symbol
_atom_site_fract_x
_atom_site_fract_y
_atom_site_fract_z
_atom_site_occupancy
Na1 Na 0.0000 0.0000 0.0000 1
Mo1 Mo 0.5000 0.5000 0.5000 1
S1 S 0.0000 0.0000 0.5000 1
Cl1 Cl 0.0000 0.5000 0.0000 1
```

6.
Computed, not measured: crystalline MgZr2Cl at its relaxed geometry at the PBEsol level of DFT.

Values from the calculation:
Energy relative to the lowest polymorph listed for this composition = 203.1 meV per atom

CIF file:
```
data_MgZr2Cl
_cell_length_a 6.8678
_cell_length_b 6.8678
_cell_length_c 6.8678
_cell_angle_alpha 90.00
_cell_angle_beta 90.00
_cell_angle_gamma 90.00
_space_group_name_H-M_alt 'F m -3 m'
_space_group_IT_number 225
_space_group_name_Hall '-F 4 2 3'
loop_
_atom_site_label
_atom_site_type_symbol
_atom_site_fract_x
_atom_site_fract_y
_atom_site_fract_z
_atom_site_occupancy
Mg1 Mg 0.0000 0.0000 0.0000 1
Zr1 Zr 0.2500 0.2500 0.2500 1
Cl1 Cl 0.0000 0.0000 0.5000 1
```

7.
Computed, not measured: crystalline YSi2Os at its relaxed geometry at the PBEsol level of DFT.

Values from the calculation:
Uncorrected energy = -92.4 eV/cell

CIF file:
```
data_YSi2Os
_cell_length_a 3.0489
_cell_length_b 3.0489
_cell_length_c 25.3252
_cell_angle_alpha 90.00
_cell_angle_beta 90.00
_cell_angle_gamma 120.00
_space_group_name_H-M_alt 'R -3 m'
_space_group_IT_number 166
_space_group_name_Hall '-R 3 2"'
loop_
_atom_site_label
_atom_site_type_symbol
_atom_site_fract_x
_atom_site_fract_y
_atom_site_fract_z
_atom_site_occupancy
Y1 Y 0.0000 0.0000 0.0000 1
Si1 Si 0.0000 0.0000 0.2361 1
Os1 Os 0.0000 0.0000 0.5000 1
```

8.
Computed, not measured: crystalline Ba2LiAg at its relaxed geometry at the PBEsol level of DFT.

Values from the calculation:
Energy of formation from the pure elements = -0.03 eV per atom
Energy relative to the lowest polymorph listed for this composition = 61.8 meV per atom

CIF file:
```
data_Ba2LiAg
_cell_length_a 3.8931
_cell_length_b 3.8931
_cell_length_c 9.1410
_cell_angle_alpha 90.00
_cell_angle_beta 90.00
_cell_angle_gamma 90.00
_space_group_name_H-M_alt 'P 4 m m'
_space_group_IT_number 99
loop_
_space_group_symop_operation_xyz
'x,y,z'
'-y,x,z'
'-x,-y,z'
'y,-x,z'
'-x,y,z'
'y,x,z'
'x,-y,z'
'-y,-x,z'
loop_
_atom_site_label
_atom_site_type_symbol
_atom_site_fract_x
_atom_site_fract_y
_atom_site_fract_z
_atom_site_occupancy
Ba1 Ba 0.0000 0.0000 0.0000 1
Ba2 Ba 0.5000 0.5000 0.3932 1
Li1 Li 0.0000 0.0000 0.6571 1
Ag1 Ag 0.5000 0.5000 0.7625 1
```

9.
Computed, not measured: crystalline Zn2SiAg at its relaxed geometry at the PBEsol level of DFT.

Values from the calculation:
Uncorrected energy = -11.6 eV/cell

CIF file:
```
data_Zn2SiAg
_cell_length_a 3.4698
_cell_length_b 3.4698
_cell_length_c 5.1020
_cell_angle_alpha 90.00
_cell_angle_beta 90.00
_cell_angle_gamma 90.00
_space_group_name_H-M_alt 'P 4 m m'
_space_group_IT_number 99
loop_
_space_group_symop_operation_xyz
'x,y,z'
'-y,x,z'
'-x,-y,z'
'y,-x,z'
'-x,y,z'
'y,x,z'
'x,-y,z'
'-y,-x,z'
loop_
_atom_site_label
_atom_site_type_symbol
_atom_site_fract_x
_atom_site_fract_y
_atom_site_fract_z
_atom_site_occupancy
Zn1 Zn 0.0000 0.0000 0.0000 1
Zn2 Zn 0.5000 0.5000 0.2481 1
Si1 Si 0.5000 0.5000 0.7553 1
Ag1 Ag 0.0000 0.0000 0.5003 1
```

10.
Computed, not measured: crystalline Y2CuTe at its relaxed geometry at the PBEsol level of DFT.

Values from the calculation:
Uncorrected energy = -47.2 eV/cell

CIF file:
```
data_Y2CuTe
_cell_length_a 4.7151
_cell_length_b 4.7622
_cell_length_c 8.1637
_cell_angle_alpha 90.00
_cell_angle_beta 90.00
_cell_angle_gamma 90.00
_space_group_name_H-M_alt 'I m m m'
_space_group_IT_number 71
_space_group_name_Hall '-I 2 2'
loop_
_atom_site_label
_atom_site_type_symbol
_atom_site_fract_x
_atom_site_fract_y
_atom_site_fract_z
_atom_site_occupancy
Y1 Y 0.0000 0.0000 0.2495 1
Cu1 Cu 0.0000 0.5000 0.5000 1
Te1 Te 0.0000 0.5000 0.0000 1
```

11.
Computed, not measured: crystalline EuCdAu2 at its relaxed geometry at the PBEsol level of DFT.

Values from the calculation:
Energy of formation from the pure elements = -0.55 eV per atom

CIF file:
```
data_EuCdAu2
_cell_length_a 6.9924
_cell_length_b 6.9924
_cell_length_c 6.9924
_cell_angle_alpha 90.00
_cell_angle_beta 90.00
_cell_angle_gamma 90.00
_space_group_name_H-M_alt 'F m -3 m'
_space_group_IT_number 225
_space_group_name_Hall '-F 4 2 3'
loop_
_atom_site_label
_atom_site_type_symbol
_atom_site_fract_x
_atom_site_fract_y
_atom_site_fract_z
_atom_site_occupancy
Eu1 Eu 0.0000 0.0000 0.0000 1
Cd1 Cd 0.0000 0.0000 0.5000 1
Au1 Au 0.2500 0.2500 0.2500 1
```

12.
Computed, not measured: crystalline CoReSe2 at its relaxed geometry at the PBEsol level of DFT.

Values from the calculation:
Energy relative to the lowest polymorph listed for this composition = 0.0 meV per atom

CIF file:
```
data_CoReSe2
_cell_length_a 3.0256
_cell_length_b 3.0256
_cell_length_c 26.6414
_cell_angle_alpha 90.00
_cell_angle_beta 90.00
_cell_angle_gamma 120.00
_space_group_name_H-M_alt 'R 3 m'
_space_group_IT_number 160
_space_group_name_Hall 'R 3 -2"'
loop_
_atom_site_label
_atom_site_type_symbol
_atom_site_fract_x
_atom_site_fract_y
_atom_site_fract_z
_atom_site_occupancy
Co1 Co 0.0000 0.0000 0.0000 1
Re1 Re 0.0000 0.0000 0.2517 1
Se1 Se 0.0000 0.0000 0.5212 1
Se2 Se 0.0000 0.0000 0.7192 1
```

| no. | V (Å³ per cell) |
| --- | --- |
| 1 | 228.9 |
| 2 | 136.7 |
| 3 | 236.8 |
| 4 | 894.6 |
| 5 | 111.2 |
| 6 | 323.9 |
| 7 | 203.9 |
| 8 | 138.5 |
| 9 | 61.4 |
| 10 | 183.3 |
| 11 | 341.9 |
| 12 | 211.2 |